LaTcIr2: relaxed, PBE.

Properties
* space group: F-43m, No. 216
* size of the total moment: 0.67 μB/f.u.
* energy of formation from the pure elements: 0.3366 eV/atom
* total energy: -7.917 eV/atom

a = 4.6708 Å, b = 4.6708 Å, c = 4.6708 Å
α = 60.00°, β = 60.00°, γ = 60.00°
Closest atoms and distances in Å follow each position.
Element x y z (fractional)
1 Ir 0.2500 0.2500 0.2500  4 La 2.86, 4 Ir 2.86
2 Tc 0.7500 0.7500 0.7500  4 La 2.86, 4 Ir 2.86
3 La 0.5000 0.5000 0.5000  4 Tc 2.86, 4 Ir 2.86
4 Ir 0.0000 0.0000 0.0000  4 Tc 2.86, 4 Ir 2.86